The following is a SCAN calculation of a PBEsol-optimized structure of ThBi2, from Alexandria via LeMat-Bulk.

VASP energy: -509.72 eV per cell
V: 186 Å³/cell
Total magnetization: 0.000 μB per atom
Space group: P4/nmm, No. 129
Calculated formation energy: -0.594 eV/atom

```
data_ThBi2
_symmetry_space_group_name_H-M 'P 1'
_symmetry_Int_Tables_number 1
_symmetry_space_group_name_Hall 'P 1'
_cell_length_a 4.505
_cell_length_b 4.505
_cell_length_c 9.188
_cell_angle_alpha 90.00
_cell_angle_beta 90.00
_cell_angle_gamma 90.00
loop_
_atom_site_label
_atom_site_fract_x
_atom_site_fract_y
_atom_site_fract_z
Th1 0.250 0.250 0.221
Th2 0.750 0.750 0.779
Bi1 0.250 0.250 0.860
Bi2 0.250 0.750 0.500
Bi3 0.750 0.250 0.500
Bi4 0.750 0.750 0.140
```